# ThZrTi4

An optimized crystal structure of ThZrTi4 (PBE, Alexandria via LeMat-Bulk).

Results
VASP energy = -7.791 eV/atom
V = 20.41 A^3/atom

Geometry as CIF:
```
data_ThZrTi4
_chemical_formula_sum 'Th4 Zr4 Ti16'
_space_group_name_H-M_alt 'F -4 3 m'
_space_group_IT_number 216
_space_group_name_Hall 'F -4 2 3'
_cell_length_a 7.883
_cell_length_b 7.883
_cell_length_c 7.883
_cell_angle_alpha 90.00
_cell_angle_beta 90.00
_cell_angle_gamma 90.00
loop_
_atom_site_label
_atom_site_type_symbol
_atom_site_fract_x
_atom_site_fract_y
_atom_site_fract_z
Th1 Th 0.000 0.000 0.000
Zr1 Zr 0.250 0.250 0.250
Ti1 Ti 0.124 0.124 0.624
```